Computed, not measured: a relaxed Pr2SbO6 crystal at the PBE level of DFT.

Geometry as CIF:
```
data_Pr2SbO6
_chemical_formula_sum 'Pr4 Sb2 O12'
_cell_length_a 5.214
_cell_length_b 5.214
_cell_length_c 10.624
_cell_angle_alpha 90.00
_cell_angle_beta 90.00
_cell_angle_gamma 90.00
_symmetry_space_group_name_H-M 'P 42/m n m'
_symmetry_Int_Tables_number 136
_symmetry_space_group_name_Hall '-P 4n 2n'
loop_
_atom_site_label
_atom_site_type_symbol
_atom_site_fract_x
_atom_site_fract_y
_atom_site_fract_z
Pr1 Pr 0.000 0.000 0.167
Sb1 Sb 0.000 0.000 0.500
O1 O 0.181 0.181 0.358
O2 O 0.226 0.226 0.000
```

Calculated values
E_form (uncorrected): -2317 meV per atom
E_tot: -7.143 eV/atom

Computed, not measured: a relaxed PrSbO crystal at the PBE level of DFT.

Geometry as CIF:
```
data_PrSbO
_chemical_formula_sum 'Pr4 Sb4 O4'
_cell_length_a 13.569
_cell_length_b 3.776
_cell_length_c 6.124
_cell_angle_alpha 90.00
_cell_angle_beta 97.70
_cell_angle_gamma 90.00
_symmetry_space_group_name_H-M 'C 1 m 1'
_symmetry_Int_Tables_number 8
loop_
_symmetry_equiv_pos_as_xyz
'x,y,z'
'x,-y,z'
'x+1/2,y+1/2,z'
'x+1/2,-y+1/2,z'
loop_
_atom_site_label
_atom_site_type_symbol
_atom_site_fract_x
_atom_site_fract_y
_atom_site_fract_z
Pr1 Pr 0.000 0.000 0.000
Pr2 Pr 0.244 0.000 0.056
Sb1 Sb 0.117 0.000 0.529
Sb2 Sb 0.461 0.000 0.494
O1 O 0.109 0.500 0.031
O2 O 0.331 0.500 0.990
```

Calculated values
E_form (uncorrected): -1843 meV per atom
E_tot: -6.463 eV/atom

Computed, not measured: a relaxed Pr5Sb2O12 crystal at the PBE level of DFT.

Geometry as CIF:
```
data_Pr5Sb2O12
_chemical_formula_sum 'Pr10 Sb4 O24'
_cell_length_a 13.015
_cell_length_b 6.274
_cell_length_c 7.731
_cell_angle_alpha 90.00
_cell_angle_beta 107.28
_cell_angle_gamma 90.00
_symmetry_space_group_name_H-M 'C 1 2/m 1'
_symmetry_Int_Tables_number 12
loop_
_symmetry_equiv_pos_as_xyz
'x,y,z'
'-x,-y,-z'
'-x,y,-z'
'x,-y,z'
'x+1/2,y+1/2,z'
'-x+1/2,-y+1/2,-z'
'-x+1/2,y+1/2,-z'
'x+1/2,-y+1/2,z'
loop_
_atom_site_label
_atom_site_type_symbol
_atom_site_fract_x
_atom_site_fract_y
_atom_site_fract_z
Pr1 Pr 0.000 0.000 0.000
Pr2 Pr 0.197 0.500 0.332
Pr3 Pr 0.199 0.500 0.863
Sb1 Sb 0.000 0.245 0.500
O1 O 0.001 0.000 0.680
O2 O 0.001 0.500 0.321
O3 O 0.154 0.249 0.075
O4 O 0.163 0.267 0.582
```

Calculated values
E_form (uncorrected): -2710 meV per atom
E_tot: -7.534 eV/atom

Computed, not measured: a relaxed PrSbO3 crystal at the PBE level of DFT.

Geometry as CIF:
```
data_PrSbO3
_chemical_formula_sum 'Pr4 Sb4 O12'
_cell_length_a 7.161
_cell_length_b 6.792
_cell_length_c 7.474
_cell_angle_alpha 90.00
_cell_angle_beta 97.45
_cell_angle_gamma 90.00
_symmetry_space_group_name_H-M 'P 1 21/c 1'
_symmetry_Int_Tables_number 14
loop_
_symmetry_equiv_pos_as_xyz
'x,y,z'
'-x,-y,-z'
'-x,y+1/2,-z+1/2'
'x,-y+1/2,z+1/2'
loop_
_atom_site_label
_atom_site_type_symbol
_atom_site_fract_x
_atom_site_fract_y
_atom_site_fract_z
Pr1 Pr 0.149 0.166 0.149
Sb1 Sb 0.404 0.706 0.049
O1 O 0.028 0.118 0.837
O2 O 0.328 0.075 0.460
O3 O 0.494 0.151 0.176
```

Calculated values
E_form (uncorrected): -2228 meV per atom
E_tot: -6.984 eV/atom

Computed, not measured: a relaxed Pr3Sb2O2 crystal at the PBE level of DFT.

Geometry as CIF:
```
data_Pr3Sb2O2
_chemical_formula_sum 'Pr6 Sb4 O4'
_cell_length_a 6.812
_cell_length_b 7.167
_cell_length_c 8.017
_cell_angle_alpha 90.00
_cell_angle_beta 113.67
_cell_angle_gamma 90.00
_symmetry_space_group_name_H-M 'P 1 21/c 1'
_symmetry_Int_Tables_number 14
loop_
_symmetry_equiv_pos_as_xyz
'x,y,z'
'-x,-y,-z'
'-x,y+1/2,-z+1/2'
'x,-y+1/2,z+1/2'
loop_
_atom_site_label
_atom_site_type_symbol
_atom_site_fract_x
_atom_site_fract_y
_atom_site_fract_z
Pr1 Pr 0.000 0.000 0.000
Pr2 Pr 0.413 0.167 0.806
Sb1 Sb 0.164 0.584 0.925
O1 O 0.360 0.096 0.078
```

Calculated values
E_form (uncorrected): -2048 meV per atom
E_tot: -6.691 eV/atom

Computed, not measured: a relaxed PrSb2O8 crystal at the PBE level of DFT.

Geometry as CIF:
```
data_PrSb2O8
_chemical_formula_sum 'Pr2 Sb4 O16'
_cell_length_a 4.993
_cell_length_b 4.993
_cell_length_c 11.978
_cell_angle_alpha 90.00
_cell_angle_beta 90.00
_cell_angle_gamma 90.00
_symmetry_space_group_name_H-M 'I 4 2 2'
_symmetry_Int_Tables_number 97
_symmetry_space_group_name_Hall 'I 4 2'
loop_
_atom_site_label
_atom_site_type_symbol
_atom_site_fract_x
_atom_site_fract_y
_atom_site_fract_z
Pr1 Pr 0.000 0.000 0.000
Sb1 Sb 0.000 0.500 0.250
O1 O 0.226 0.271 0.854
```

Calculated values
E_form (uncorrected): -1148 meV per atom
E_tot: -5.938 eV/atom